ScTaV2Os after structural relaxation, computed with PBE-GGA.

The structure belongs to space group P4/mmm (No. 123); the cell edges are 4.2424, 4.2424 and 4.7799 Å and the angles 90.00°, 90.00° and 90.00°. The distinct sites, in fractional coordinates, are Sc at (0.0000, 0.0000, 0.0000), Ta at (0.5000, 0.5000, 0.5000), V at (0.0000, 0.5000, 0.0000) and Os at (0.0000, 0.0000, 0.5000).

As for the volume: 86.0 Å³/cell. For the formation energy, the calculation gives 143.84 kJ/mol of atoms. The density of states at the Fermi level is 4.03 states/eV per cell. As for the energy: -40.20 eV/f.u.

---

BaZn2SiIr2 after structural relaxation, computed with PBE-GGA.

The structure belongs to space group P4/mmm (No. 123); the cell edges are 4.5411, 4.5411 and 6.2155 Å and the angles 90.00°, 90.00° and 90.00°. The distinct sites, in fractional coordinates, are Ba at (0.0000, 0.0000, 0.0000), Zn at (0.5000, 0.5000, 0.2523), Si at (0.0000, 0.0000, 0.5000) and Ir at (0.0000, 0.5000, 0.5000).

As for the volume: 128.2 Å³/cell. The density of states at the Fermi level is 5.46 states/eV per cell. As for the energy: -28.88 eV/f.u.

---

KBeAg2 after structural relaxation, computed with PBE-GGA.

The structure belongs to space group P2/m (No. 10); the cell edges are 5.2529, 2.9579 and 5.5435 Å and the angles 90.00°, 107.41° and 90.00°. The distinct sites, in fractional coordinates, are K at (0.0000, 0.0000, 0.0000), Be at (0.0000, 0.5000, 0.5000), Ag at (0.5000, 0.0000, 0.5000) and Ag at (0.5000, 0.5000, 0.0000).

As for the volume: 82.2 Å³/cell. For the formation energy, the calculation gives 66.52 kJ/mol of atoms. The density of states at the Fermi level is 1.69 states/eV per cell. As for the energy: -7.77 eV/f.u.

---

BaSr2CaSe after structural relaxation, computed with PBE-GGA.

The structure belongs to space group P4/mmm (No. 123); the cell edges are 6.1021, 6.1021 and 6.5264 Å and the angles 90.00°, 90.00° and 90.00°. The distinct sites, in fractional coordinates, are Ba at (0.0000, 0.0000, 0.0000), Sr at (0.0000, 0.5000, 0.5000), Ca at (0.5000, 0.5000, 0.0000) and Se at (0.0000, 0.0000, 0.5000).

Its relative energy among the computed polymorphs is 0.00 eV per formula unit. As for the volume: 243.0 Å³/cell. The density of states at the Fermi level is 3.95 states/eV per cell. As for the energy: -14.21 eV/f.u.

---

Q: The highest energy belongs to which entry?
A: KBeAg2

---

Repeat the fourth record exactly.
BaSr2CaSe after structural relaxation, computed with PBE-GGA.

The structure belongs to space group P4/mmm (No. 123); the cell edges are 6.1021, 6.1021 and 6.5264 Å and the angles 90.00°, 90.00° and 90.00°. The distinct sites, in fractional coordinates, are Ba at (0.0000, 0.0000, 0.0000), Sr at (0.0000, 0.5000, 0.5000), Ca at (0.5000, 0.5000, 0.0000) and Se at (0.0000, 0.0000, 0.5000).

Its relative energy among the computed polymorphs is 0.00 eV per formula unit. As for the volume: 243.0 Å³/cell. The density of states at the Fermi level is 3.95 states/eV per cell. As for the energy: -14.21 eV/f.u.

---

Q: Which of these has the lowest energy?
A: ScTaV2Os